Record 1
This record from Alexandria via LeMat-Bulk describes a PBEsol-optimized structure of RbScInCl2. The functional is SCAN.

a b c (Å): 4.9687 4.9687 7.8351
angles (deg): 90.00 90.00 90.00
Atoms (fractional coordinates):
Rb  0.0000  0.0000  0.0000
Sc  0.0000  0.0000  0.5000
In  0.5000  0.5000  0.0000
Cl  0.0000  0.5000  0.5000
Cl  0.5000  0.0000  0.5000

Spin magnetization   0.136 μB/atom
Total energy   -17.661 eV per atom
ΔE_f (raw)   -0.798 eV per atom
Space group   P4/mmm, No. 123

Record 2
This record from Alexandria via LeMat-Bulk describes a PBEsol-optimized structure of SrBe2SiN. The functional is SCAN.

a b c (Å): 5.9756 5.9756 5.8997
angles (deg): 90.00 90.00 90.00
Atoms (fractional coordinates):
Sr  0.0000  0.0000  0.0000
Be  0.0000  0.5000  0.0000
Be  0.5000  0.0000  0.0000
Si  0.0000  0.0000  0.5000
N  0.5000  0.5000  0.5000

Spin magnetization   0.993 μB/atom
Total energy   -7.238 eV per atom
ΔE_f (raw)   2.820 eV per atom
Space group   P4/mmm, No. 123

Record 3
This record from Alexandria via LeMat-Bulk describes a PBEsol-optimized structure of Sr2CaAu2. The functional is SCAN.

a b c (Å): 8.0859 8.0859 4.4796
angles (deg): 90.00 90.00 90.00
Atoms (fractional coordinates):
Sr  0.1652  0.3348  0.0000
Sr  0.3348  0.8348  0.0000
Sr  0.6652  0.1652  0.0000
Sr  0.8348  0.6652  0.0000
Ca  0.0000  0.0000  0.5000
Ca  0.5000  0.5000  0.5000
Au  0.1306  0.6306  0.5000
Au  0.3694  0.1306  0.5000
Au  0.6306  0.8694  0.5000
Au  0.8694  0.3694  0.5000

Spin magnetization   0.000 μB/atom
ΔH_f (0 K)   -0.816 eV/atom
Total energy   -39.321 eV per atom
Space group   P4/mbm, No. 127

Record 4
This record from Alexandria via LeMat-Bulk describes a PBEsol-optimized structure of NaCu2Si2. The functional is SCAN.

a b c (Å): 7.5356 7.5356 2.5097
angles (deg): 90.00 90.00 90.00
Atoms (fractional coordinates):
Na  0.0000  0.0000  0.0000
Na  0.5000  0.5000  0.0000
Cu  0.1473  0.3527  0.0000
Cu  0.3527  0.8527  0.0000
Cu  0.6473  0.1473  0.0000
Cu  0.8527  0.6473  0.0000
Si  0.1454  0.6454  0.5000
Si  0.3546  0.1454  0.5000
Si  0.6454  0.8546  0.5000
Si  0.8546  0.3546  0.5000

Spin magnetization   0.000 μB/atom
Energy relative to the lowest polymorph listed for this composition   118 meV/atom
Total energy   -10.839 eV per atom
ΔE_f (raw)   0.090 eV per atom
Space group   P4/mbm, No. 127

Record 5
This record from Alexandria via LeMat-Bulk describes a PBEsol-optimized structure of ReAgIr2. The functional is SCAN.

a b c (Å): 2.7144 4.5525 9.9574
angles (deg): 90.00 90.00 90.00
Atoms (fractional coordinates):
Re  0.0000  0.0000  0.0000
Re  0.5000  0.5000  0.5000
Ag  0.0000  0.5000  0.2255
Ag  0.5000  0.0000  0.7255
Ir  0.0000  0.0000  0.4446
Ir  0.0000  0.5000  0.7144
Ir  0.5000  0.0000  0.2144
Ir  0.5000  0.5000  0.9446

Spin magnetization   0.000 μB/atom
ΔH_f (0 K)   0.346 eV/atom
Energy relative to the lowest polymorph listed for this composition   321 meV/atom
Total energy   -60.820 eV per atom
Space group   Imm2, No. 44

Record 6
This record from Alexandria via LeMat-Bulk describes a PBEsol-optimized structure of MgCd2Ni. The functional is SCAN.

a b c (Å): 3.7833 4.2382 8.3814
angles (deg): 90.00 90.00 90.00
Atoms (fractional coordinates):
Mg  0.0000  0.0000  0.0000
Mg  0.5000  0.5000  0.5000
Cd  0.0000  0.5000  0.2372
Cd  0.0000  0.5000  0.7628
Cd  0.5000  0.0000  0.2628
Cd  0.5000  0.0000  0.7372
Ni  0.0000  0.0000  0.5000
Ni  0.5000  0.5000  0.0000

Spin magnetization   0.000 μB/atom
ΔH_f (0 K)   -0.037 eV/atom
Total energy   -20.531 eV per atom
Space group   Immm, No. 71

Record 7
This record from Alexandria via LeMat-Bulk describes a PBEsol-optimized structure of RbLiS3. The functional is SCAN.

a b c (Å): 5.8312 5.8312 5.8312
angles (deg): 90.00 90.00 90.00
Atoms (fractional coordinates):
Rb  0.0000  0.0000  0.0000
Li  0.5000  0.5000  0.5000
S  0.0000  0.0000  0.5000
S  0.0000  0.5000  0.0000
S  0.5000  0.0000  0.0000

Spin magnetization   0.800 μB/atom
Energy relative to the lowest polymorph listed for this composition   831 meV/atom
Total energy   -9.695 eV per atom
ΔE_f (raw)   0.708 eV per atom
Space group   Pm-3m, No. 221

Record 8
This record from Alexandria via LeMat-Bulk describes a PBEsol-optimized structure of Ba3NbAs3O. The functional is SCAN.

a b c (Å): 6.7128 11.1068 13.4250
angles (deg): 90.00 90.00 90.00
Atoms (fractional coordinates):
Ba  0.2193  0.2500  0.1252
Ba  0.2425  0.5450  0.3678
Ba  0.2425  0.9550  0.3678
Ba  0.2575  0.0450  0.8678
Ba  0.2575  0.4550  0.8678
Ba  0.2807  0.7500  0.6252
Ba  0.7193  0.2500  0.3748
Ba  0.7425  0.5450  0.1322
Ba  0.7425  0.9550  0.1322
Ba  0.7575  0.0450  0.6322
Ba  0.7575  0.4550  0.6322
Ba  0.7807  0.7500  0.8748
Nb  0.1607  0.2500  0.5452
Nb  0.3393  0.7500  0.0452
Nb  0.6607  0.2500  0.9548
Nb  0.8393  0.7500  0.4548
As  0.2194  0.2500  0.3644
As  0.2350  0.5542  0.1156
As  0.2350  0.9458  0.1156
As  0.2650  0.0542  0.6156
As  0.2650  0.4458  0.6156
As  0.2806  0.7500  0.8644
As  0.7194  0.2500  0.1356
As  0.7350  0.5542  0.3844
As  0.7350  0.9458  0.3844
As  0.7650  0.0542  0.8844
As  0.7650  0.4458  0.8844
As  0.7806  0.7500  0.6356
O  0.1205  0.7500  0.4446
O  0.3795  0.2500  0.9446
O  0.6205  0.7500  0.0554
O  0.8795  0.2500  0.5554

Spin magnetization   0.000 μB/atom
Total energy   -28.926 eV per atom
ΔE_f (raw)   -1.603 eV per atom
Space group   Pnma, No. 62